one) # NaAgSnSe3

A relaxed NaAgSnSe3 crystal (PBE-GGA, OQMD via LeMat-Bulk).

Geometry as CIF:
```
data_NaAgSnSe3
_chemical_formula_sum 'Na2 Ag2 Sn2 Se6'
_cell_length_a 8.930
_cell_length_b 8.930
_cell_length_c 9.089
_cell_angle_alpha 105.18
_cell_angle_beta 105.18
_cell_angle_gamma 25.10
_symmetry_space_group_name_H-M 'P 1'
_symmetry_Int_Tables_number 1
_symmetry_space_group_name_Hall 'P 1'
loop_
_atom_site_label
_atom_site_fract_x
_atom_site_fract_y
_atom_site_fract_z
_atom_site_occupancy
Na1 0.131 0.131 0.060 1
Na2 0.869 0.869 0.940 1
Ag1 0.488 0.488 0.280 1
Ag2 0.512 0.512 0.720 1
Sn1 0.174 0.174 0.589 1
Sn2 0.826 0.826 0.411 1
Se1 0.000 0.000 0.500 1
Se2 0.317 0.317 0.195 1
Se3 0.336 0.336 0.639 1
Se4 0.500 0.500 0.000 1
Se5 0.664 0.664 0.361 1
Se6 0.683 0.683 0.805 1
```

* space group: C2/m (12)



two) # NaAgSnSe3

A relaxed NaAgSnSe3 crystal (PBE-GGA, OQMD via LeMat-Bulk).

Geometry as CIF:
```
data_NaAgSnSe3
_chemical_formula_sum 'Na4 Ag4 Sn4 Se12'
_cell_length_a 8.758
_cell_length_b 4.080
_cell_length_c 16.580
_cell_angle_alpha 90.00
_cell_angle_beta 90.00
_cell_angle_gamma 90.00
_symmetry_space_group_name_H-M 'P 1'
_symmetry_Int_Tables_number 1
_symmetry_space_group_name_Hall 'P 1'
loop_
_atom_site_label
_atom_site_fract_x
_atom_site_fract_y
_atom_site_fract_z
_atom_site_occupancy
Na1 0.047 0.250 0.234 1
Na2 0.453 0.750 0.734 1
Na3 0.547 0.250 0.266 1
Na4 0.953 0.750 0.766 1
Ag1 0.248 0.250 0.635 1
Ag2 0.252 0.750 0.135 1
Ag3 0.748 0.250 0.865 1
Ag4 0.752 0.750 0.365 1
Sn1 0.180 0.750 0.434 1
Sn2 0.320 0.250 0.934 1
Sn3 0.680 0.750 0.066 1
Sn4 0.820 0.250 0.566 1
Se1 0.037 0.750 0.594 1
Se2 0.138 0.750 0.992 1
Se3 0.195 0.250 0.787 1
Se4 0.305 0.750 0.287 1
Se5 0.362 0.250 0.492 1
Se6 0.463 0.250 0.094 1
Se7 0.537 0.750 0.906 1
Se8 0.638 0.750 0.508 1
Se9 0.695 0.250 0.713 1
Se10 0.805 0.750 0.213 1
Se11 0.862 0.250 0.008 1
Se12 0.963 0.250 0.406 1
```

* space group: Pnma (62)



one) is favored, and the nearest alternative lies 0.008 eV/atom above it.



one) # NaAgSnSe3

A relaxed NaAgSnSe3 crystal (PBE-GGA, OQMD via LeMat-Bulk).

Geometry as CIF:
```
data_NaAgSnSe3
_chemical_formula_sum 'Na2 Ag2 Sn2 Se6'
_cell_length_a 7.893
_cell_length_b 4.015
_cell_length_c 9.630
_cell_angle_alpha 90.00
_cell_angle_beta 102.93
_cell_angle_gamma 90.00
_symmetry_space_group_name_H-M 'P 1'
_symmetry_Int_Tables_number 1
_symmetry_space_group_name_Hall 'P 1'
loop_
_atom_site_label
_atom_site_fract_x
_atom_site_fract_y
_atom_site_fract_z
_atom_site_occupancy
Na1 0.221 0.250 0.168 1
Na2 0.779 0.750 0.832 1
Ag1 0.464 0.250 0.898 1
Ag2 0.536 0.750 0.102 1
Sn1 0.185 0.750 0.642 1
Sn2 0.815 0.250 0.358 1
Se1 0.069 0.750 0.355 1
Se2 0.219 0.750 0.930 1
Se3 0.414 0.250 0.622 1
Se4 0.586 0.750 0.378 1
Se5 0.781 0.250 0.070 1
Se6 0.931 0.250 0.645 1
```

* space group: P2_1/m (11)



two) # NaAgSnSe3

A relaxed NaAgSnSe3 crystal (PBE-GGA, OQMD via LeMat-Bulk).

Geometry as CIF:
```
data_NaAgSnSe3
_chemical_formula_sum 'Na4 Ag4 Sn4 Se12'
_cell_length_a 14.061
_cell_length_b 4.143
_cell_length_c 10.333
_cell_angle_alpha 90.00
_cell_angle_beta 90.00
_cell_angle_gamma 90.00
_symmetry_space_group_name_H-M 'P 1'
_symmetry_Int_Tables_number 1
_symmetry_space_group_name_Hall 'P 1'
loop_
_atom_site_label
_atom_site_fract_x
_atom_site_fract_y
_atom_site_fract_z
_atom_site_occupancy
Na1 0.131 0.250 0.001 1
Na2 0.369 0.750 0.501 1
Na3 0.631 0.250 0.499 1
Na4 0.869 0.750 0.999 1
Ag1 0.222 0.750 0.774 1
Ag2 0.278 0.250 0.274 1
Ag3 0.722 0.750 0.726 1
Ag4 0.778 0.250 0.226 1
Sn1 0.030 0.750 0.339 1
Sn2 0.470 0.250 0.839 1
Sn3 0.530 0.750 0.161 1
Sn4 0.970 0.250 0.661 1
Se1 0.044 0.750 0.817 1
Se2 0.115 0.250 0.488 1
Se3 0.183 0.750 0.192 1
Se4 0.317 0.250 0.692 1
Se5 0.385 0.750 0.988 1
Se6 0.456 0.250 0.317 1
Se7 0.544 0.750 0.683 1
Se8 0.615 0.250 0.012 1
Se9 0.683 0.750 0.308 1
Se10 0.817 0.250 0.808 1
Se11 0.885 0.750 0.512 1
Se12 0.956 0.250 0.183 1
```

* space group: Pnma (62)



two) is favored, and the nearest alternative lies 0.021 eV/atom above it.



one) # NaAgSnSe3

A relaxed NaAgSnSe3 crystal (PBE-GGA, OQMD via LeMat-Bulk).

Geometry as CIF:
```
data_NaAgSnSe3
_chemical_formula_sum 'Na4 Ag4 Sn4 Se12'
_cell_length_a 11.094
_cell_length_b 4.033
_cell_length_c 12.993
_cell_angle_alpha 90.00
_cell_angle_beta 90.00
_cell_angle_gamma 90.00
_symmetry_space_group_name_H-M 'P 1'
_symmetry_Int_Tables_number 1
_symmetry_space_group_name_Hall 'P 1'
loop_
_atom_site_label
_atom_site_fract_x
_atom_site_fract_y
_atom_site_fract_z
_atom_site_occupancy
Na1 0.244 0.250 0.027 1
Na2 0.256 0.750 0.527 1
Na3 0.744 0.250 0.473 1
Na4 0.756 0.750 0.973 1
Ag1 0.245 0.250 0.335 1
Ag2 0.255 0.750 0.835 1
Ag3 0.745 0.250 0.165 1
Ag4 0.755 0.750 0.665 1
Sn1 0.011 0.250 0.746 1
Sn2 0.489 0.750 0.246 1
Sn3 0.511 0.250 0.754 1
Sn4 0.989 0.750 0.254 1
Se1 0.025 0.250 0.399 1
Se2 0.031 0.750 0.894 1
Se3 0.246 0.750 0.191 1
Se4 0.254 0.250 0.691 1
Se5 0.469 0.250 0.394 1
Se6 0.475 0.750 0.899 1
Se7 0.525 0.250 0.101 1
Se8 0.531 0.750 0.606 1
Se9 0.746 0.750 0.309 1
Se10 0.754 0.250 0.809 1
Se11 0.969 0.250 0.106 1
Se12 0.975 0.750 0.601 1
```

* space group: Pnma (62)



two) # NaAgSnSe3

A relaxed NaAgSnSe3 crystal (PBE-GGA, OQMD via LeMat-Bulk).

Geometry as CIF:
```
data_NaAgSnSe3
_chemical_formula_sum 'Na4 Ag4 Sn4 Se12'
_cell_length_a 14.024
_cell_length_b 4.146
_cell_length_c 10.346
_cell_angle_alpha 90.00
_cell_angle_beta 90.00
_cell_angle_gamma 90.00
_symmetry_space_group_name_H-M 'P 1'
_symmetry_Int_Tables_number 1
_symmetry_space_group_name_Hall 'P 1'
loop_
_atom_site_label
_atom_site_fract_x
_atom_site_fract_y
_atom_site_fract_z
_atom_site_occupancy
Na1 0.132 0.250 0.001 1
Na2 0.368 0.750 0.501 1
Na3 0.632 0.250 0.499 1
Na4 0.868 0.750 0.999 1
Ag1 0.223 0.750 0.774 1
Ag2 0.277 0.250 0.274 1
Ag3 0.723 0.750 0.726 1
Ag4 0.777 0.250 0.226 1
Sn1 0.029 0.750 0.339 1
Sn2 0.471 0.250 0.839 1
Sn3 0.529 0.750 0.161 1
Sn4 0.971 0.250 0.661 1
Se1 0.044 0.750 0.817 1
Se2 0.115 0.250 0.488 1
Se3 0.183 0.750 0.192 1
Se4 0.317 0.250 0.692 1
Se5 0.385 0.750 0.988 1
Se6 0.456 0.250 0.317 1
Se7 0.544 0.750 0.683 1
Se8 0.615 0.250 0.012 1
Se9 0.683 0.750 0.308 1
Se10 0.817 0.250 0.808 1
Se11 0.885 0.750 0.512 1
Se12 0.956 0.250 0.183 1
```

* space group: Pnma (62)



two) is favored, and the nearest alternative lies 0.055 eV/atom above it.



one) # NaTbAg3Se4

A relaxed NaTbAg3Se4 crystal (PBE-GGA, OQMD via LeMat-Bulk).

Geometry as CIF:
```
data_NaTbAg3Se4
_chemical_formula_sum 'Na1 Tb1 Ag3 Se4'
_cell_length_a 6.399
_cell_length_b 6.399
_cell_length_c 6.399
_cell_angle_alpha 90.00
_cell_angle_beta 90.00
_cell_angle_gamma 90.00
_symmetry_space_group_name_H-M 'P 1'
_symmetry_Int_Tables_number 1
_symmetry_space_group_name_Hall 'P 1'
loop_
_atom_site_label
_atom_site_fract_x
_atom_site_fract_y
_atom_site_fract_z
_atom_site_occupancy
Na1 0.000 0.000 0.000 1
Tb1 0.500 0.500 0.500 1
Ag1 0.000 0.500 0.500 1
Ag2 0.500 0.000 0.500 1
Ag3 0.500 0.500 0.000 1
Se1 0.256 0.256 0.256 1
Se2 0.256 0.744 0.744 1
Se3 0.744 0.256 0.744 1
Se4 0.744 0.744 0.256 1
```

* space group: P-43m (215)
* magnetization: 0.16 μB/f.u.



two) # NaTbAg3Se4

A relaxed NaTbAg3Se4 crystal (PBE-GGA, OQMD via LeMat-Bulk).

Geometry as CIF:
```
data_NaTbAg3Se4
_chemical_formula_sum 'Na2 Tb2 Ag6 Se8'
_cell_length_a 6.363
_cell_length_b 7.925
_cell_length_c 10.309
_cell_angle_alpha 90.00
_cell_angle_beta 107.51
_cell_angle_gamma 90.00
_symmetry_space_group_name_H-M 'P 1'
_symmetry_Int_Tables_number 1
_symmetry_space_group_name_Hall 'P 1'
loop_
_atom_site_label
_atom_site_fract_x
_atom_site_fract_y
_atom_site_fract_z
_atom_site_occupancy
Na1 0.135 0.250 0.155 1
Na2 0.865 0.750 0.845 1
Tb1 0.405 0.250 0.704 1
Tb2 0.595 0.750 0.296 1
Ag1 0.042 0.750 0.208 1
Ag2 0.206 0.560 0.470 1
Ag3 0.206 0.940 0.470 1
Ag4 0.794 0.060 0.530 1
Ag5 0.794 0.440 0.530 1
Ag6 0.958 0.250 0.792 1
Se1 0.152 0.520 0.730 1
Se2 0.152 0.980 0.730 1
Se3 0.278 0.750 0.052 1
Se4 0.436 0.250 0.436 1
Se5 0.564 0.750 0.564 1
Se6 0.722 0.250 0.948 1
Se7 0.848 0.020 0.270 1
Se8 0.848 0.480 0.270 1
```

* space group: P2_1/m (11)
* magnetization: 0.06 μB/f.u.



one) is favored, and the nearest alternative lies 0.037 eV/atom above it.



one) # NaZrAgSe3

A relaxed NaZrAgSe3 crystal (PBE-GGA, OQMD via LeMat-Bulk).

Geometry as CIF:
```
data_NaZrAgSe3
_chemical_formula_sum 'Na2 Zr2 Ag2 Se6'
_cell_length_a 8.863
_cell_length_b 8.863
_cell_length_c 8.805
_cell_angle_alpha 101.94
_cell_angle_beta 101.94
_cell_angle_gamma 25.03
_symmetry_space_group_name_H-M 'P 1'
_symmetry_Int_Tables_number 1
_symmetry_space_group_name_Hall 'P 1'
loop_
_atom_site_label
_atom_site_fract_x
_atom_site_fract_y
_atom_site_fract_z
_atom_site_occupancy
Na1 0.124 0.124 0.074 1
Na2 0.876 0.876 0.926 1
Zr1 0.167 0.167 0.591 1
Zr2 0.833 0.833 0.409 1
Ag1 0.460 0.460 0.269 1
Ag2 0.540 0.540 0.731 1
Se1 0.000 0.000 0.500 1
Se2 0.306 0.306 0.187 1
Se3 0.329 0.329 0.626 1
Se4 0.500 0.500 0.000 1
Se5 0.671 0.671 0.374 1
Se6 0.694 0.694 0.813 1
```

* space group: C2/m (12)
* magnetization: 0.00 μB/f.u.



two) # NaZrAgSe3

A relaxed NaZrAgSe3 crystal (PBE-GGA, OQMD via LeMat-Bulk).

Geometry as CIF:
```
data_NaZrAgSe3
_chemical_formula_sum 'Na4 Zr4 Ag4 Se12'
_cell_length_a 13.474
_cell_length_b 3.931
_cell_length_c 10.698
_cell_angle_alpha 90.00
_cell_angle_beta 90.00
_cell_angle_gamma 90.00
_symmetry_space_group_name_H-M 'P 1'
_symmetry_Int_Tables_number 1
_symmetry_space_group_name_Hall 'P 1'
loop_
_atom_site_label
_atom_site_fract_x
_atom_site_fract_y
_atom_site_fract_z
_atom_site_occupancy
Na1 0.226 0.250 0.048 1
Na2 0.274 0.750 0.548 1
Na3 0.726 0.250 0.452 1
Na4 0.774 0.750 0.952 1
Zr1 0.012 0.250 0.326 1
Zr2 0.488 0.750 0.826 1
Zr3 0.512 0.250 0.174 1
Zr4 0.988 0.750 0.674 1
Ag1 0.016 0.750 0.094 1
Ag2 0.484 0.250 0.594 1
Ag3 0.516 0.750 0.406 1
Ag4 0.984 0.250 0.906 1
Se1 0.102 0.250 0.564 1
Se2 0.117 0.750 0.863 1
Se3 0.147 0.750 0.272 1
Se4 0.353 0.250 0.772 1
Se5 0.383 0.250 0.363 1
Se6 0.398 0.750 0.064 1
Se7 0.602 0.250 0.936 1
Se8 0.617 0.750 0.637 1
Se9 0.647 0.750 0.228 1
Se10 0.853 0.250 0.728 1
Se11 0.883 0.250 0.137 1
Se12 0.898 0.750 0.436 1
```

* space group: Pnma (62)
* magnetization: 0.01 μB/f.u.



three) # NaZrAgSe3

A relaxed NaZrAgSe3 crystal (PBE-GGA, OQMD via LeMat-Bulk).

Geometry as CIF:
```
data_NaZrAgSe3
_chemical_formula_sum 'Na4 Zr4 Ag4 Se12'
_cell_length_a 10.942
_cell_length_b 3.862
_cell_length_c 13.622
_cell_angle_alpha 90.00
_cell_angle_beta 90.00
_cell_angle_gamma 90.00
_symmetry_space_group_name_H-M 'P 1'
_symmetry_Int_Tables_number 1
_symmetry_space_group_name_Hall 'P 1'
loop_
_atom_site_label
_atom_site_fract_x
_atom_site_fract_y
_atom_site_fract_z
_atom_site_occupancy
Na1 0.212 0.250 0.015 1
Na2 0.288 0.750 0.515 1
Na3 0.712 0.250 0.485 1
Na4 0.788 0.750 0.985 1
Zr1 0.010 0.250 0.272 1
Zr2 0.490 0.750 0.772 1
Zr3 0.510 0.250 0.228 1
Zr4 0.990 0.750 0.728 1
Ag1 0.238 0.750 0.218 1
Ag2 0.262 0.250 0.718 1
Ag3 0.738 0.750 0.282 1
Ag4 0.762 0.250 0.782 1
Se1 0.024 0.750 0.129 1
Se2 0.073 0.250 0.606 1
Se3 0.222 0.250 0.352 1
Se4 0.278 0.750 0.852 1
Se5 0.427 0.750 0.106 1
Se6 0.476 0.250 0.629 1
Se7 0.524 0.750 0.371 1
Se8 0.573 0.250 0.894 1
Se9 0.722 0.250 0.148 1
Se10 0.778 0.750 0.648 1
Se11 0.927 0.750 0.394 1
Se12 0.976 0.250 0.871 1
```

* space group: Pnma (62)
* magnetization: 0.02 μB/f.u.



two) is favored, and the nearest alternative lies 0.030 eV/atom above it.



one) # NaZrAgSe3

A relaxed NaZrAgSe3 crystal (PBE-GGA, OQMD via LeMat-Bulk).

Geometry as CIF:
```
data_NaZrAgSe3
_chemical_formula_sum 'Na4 Zr4 Ag4 Se12'
_cell_length_a 12.296
_cell_length_b 3.935
_cell_length_c 11.913
_cell_angle_alpha 90.00
_cell_angle_beta 90.00
_cell_angle_gamma 90.00
_symmetry_space_group_name_H-M 'P 1'
_symmetry_Int_Tables_number 1
_symmetry_space_group_name_Hall 'P 1'
loop_
_atom_site_label
_atom_site_fract_x
_atom_site_fract_y
_atom_site_fract_z
_atom_site_occupancy
Na1 0.148 0.250 0.011 1
Na2 0.352 0.750 0.511 1
Na3 0.648 0.250 0.489 1
Na4 0.852 0.750 0.989 1
Zr1 0.054 0.250 0.333 1
Zr2 0.446 0.750 0.833 1
Zr3 0.554 0.250 0.167 1
Zr4 0.946 0.750 0.667 1
Ag1 0.249 0.250 0.706 1
Ag2 0.251 0.750 0.206 1
Ag3 0.749 0.250 0.794 1
Ag4 0.751 0.750 0.294 1
Se1 0.039 0.750 0.168 1
Se2 0.076 0.250 0.576 1
Se3 0.240 0.750 0.860 1
Se4 0.260 0.250 0.360 1
Se5 0.424 0.750 0.076 1
Se6 0.461 0.250 0.668 1
Se7 0.539 0.750 0.332 1
Se8 0.576 0.250 0.924 1
Se9 0.740 0.750 0.640 1
Se10 0.760 0.250 0.140 1
Se11 0.924 0.750 0.424 1
Se12 0.961 0.250 0.832 1
```

* space group: Pnma (62)
* magnetization: 0.00 μB/f.u.



two) # NaZrAgSe3

A relaxed NaZrAgSe3 crystal (PBE-GGA, OQMD via LeMat-Bulk).

Geometry as CIF:
```
data_NaZrAgSe3
_chemical_formula_sum 'Na2 Zr2 Ag2 Se6'
_cell_length_a 7.218
_cell_length_b 7.218
_cell_length_c 10.467
_cell_angle_alpha 90.00
_cell_angle_beta 90.00
_cell_angle_gamma 148.55
_symmetry_space_group_name_H-M 'P 1'
_symmetry_Int_Tables_number 1
_symmetry_space_group_name_Hall 'P 1'
loop_
_atom_site_label
_atom_site_fract_x
_atom_site_fract_y
_atom_site_fract_z
_atom_site_occupancy
Na1 0.245 0.755 0.750 1
Na2 0.755 0.245 0.250 1
Zr1 0.000 0.000 0.000 1
Zr2 0.000 0.000 0.500 1
Ag1 0.457 0.543 0.250 1
Ag2 0.543 0.457 0.750 1
Se1 0.084 0.916 0.250 1
Se2 0.364 0.636 0.038 1
Se3 0.364 0.636 0.462 1
Se4 0.636 0.364 0.538 1
Se5 0.636 0.364 0.962 1
Se6 0.916 0.084 0.750 1
```

* space group: Cmcm (63)
* magnetization: 0.01 μB/f.u.



two) is favored, and the nearest alternative lies 0.024 eV/atom above it.